(1)
Computed, not measured: a relaxed Mg3Cd crystal at the PBEsol level of DFT.

The value obtained for the formation energy is -0.042 eV per atom. The calculation puts the density of states at the Fermi level at 1.6 states/eV/f.u.

The space group is Fm-3m (No. 225) and the conventional cell measures 6.979, 6.979 and 6.979 Å, with angles of 90.00, 90.00 and 90.00 degrees. The inequivalent atoms are Mg at (0.000, 0.000, 0.000), Mg at (0.250, 0.250, 0.250) and Cd at (0.000, 0.000, 0.500).

=====

(2)
Computed, not measured: a relaxed PrDy3 crystal at the PBEsol level of DFT.

The value obtained for the formation energy is 0.017 eV per atom. The calculation puts the density of states at the Fermi level at 5.2 states/eV/f.u. Its energy above the lowest structure with this stoichiometry is 0.18 kJ/mol of atoms.

The space group is I4/mmm (No. 139) and the conventional cell measures 4.967, 4.967 and 9.908 Å, with angles of 90.00, 90.00 and 90.00 degrees. The inequivalent atoms are Pr at (0.000, 0.000, 0.000), Dy at (0.000, 0.000, 0.500) and Dy at (0.000, 0.500, 0.250).

=====

(3)
Computed, not measured: a relaxed TlIr2Pt crystal at the PBEsol level of DFT.

The value obtained for the formation energy is 0.410 eV per atom. The calculation puts the density of states at the Fermi level at 3.5 states/eV/f.u. Its energy above the lowest structure with this stoichiometry is 0.00 kJ/mol of atoms.

The space group is Pmmm (No. 47) and the conventional cell measures 2.808, 4.773 and 4.790 Å, with angles of 90.00, 90.00 and 90.00 degrees. The inequivalent atoms are Tl at (0.000, 0.000, 0.000), Ir at (0.000, 0.500, 0.500), Ir at (0.500, 0.500, 0.000) and Pt at (0.500, 0.000, 0.500).

=====

(4)
Computed, not measured: a relaxed TlV2AgO6 crystal at the PBEsol level of DFT.

The uncorrected formation energy is -1.785 eV/atom. The calculation puts the density of states at the Fermi level at 0.0 states/eV/f.u.

The space group is C2/c (No. 15) and the conventional cell measures 10.665, 10.088 and 5.862 Å, with angles of 90.00, 105.28 and 90.00 degrees. The inequivalent atoms are Tl at (0.000, 0.216, 0.250), V at (0.213, 0.082, 0.785), Ag at (0.000, 0.394, 0.750), O at (0.124, 0.423, 0.140), O at (0.155, 0.012, 0.019) and O at (0.161, 0.236, 0.727).

=====

(5)
Computed, not measured: a relaxed La2RhCl crystal at the PBEsol level of DFT.

The uncorrected formation energy is -0.302 eV/atom. The calculation puts the density of states at the Fermi level at 2.4 states/eV/f.u. Its energy above the lowest structure with this stoichiometry is 89.64 kJ/mol of atoms.

The space group is F-43m (No. 216) and the conventional cell measures 7.032, 7.032 and 7.032 Å, with angles of 90.00, 90.00 and 90.00 degrees. The inequivalent atoms are La at (0.000, 0.000, 0.000), La at (0.250, 0.250, 0.250), Rh at (0.000, 0.000, 0.500) and Cl at (0.250, 0.250, 0.750).

=====

(6)
Computed, not measured: a relaxed ZnTcSe2Br crystal at the PBEsol level of DFT.

The uncorrected formation energy is 0.294 eV/atom. The calculation puts the density of states at the Fermi level at 4.5 states/eV/f.u.

The space group is P4/mmm (No. 123) and the conventional cell measures 4.726, 4.726 and 5.265 Å, with angles of 90.00, 90.00 and 90.00 degrees. The inequivalent atoms are Zn at (0.000, 0.000, 0.000), Tc at (0.500, 0.500, 0.500), Se at (0.000, 0.500, 0.500) and Br at (0.500, 0.500, 0.000).

=====

(7)
Computed, not measured: a relaxed TaGe3P crystal at the PBEsol level of DFT.

The value obtained for the formation energy is 1.049 eV per atom. The calculation puts the density of states at the Fermi level at 4.5 states/eV/f.u.

The space group is Pm-3m (No. 221) and the conventional cell measures 4.559, 4.559 and 4.559 Å, with angles of 90.00, 90.00 and 90.00 degrees. The inequivalent atoms are Ta at (0.000, 0.000, 0.000), Ge at (0.000, 0.500, 0.500) and P at (0.500, 0.500, 0.500).

=====

(8)
Computed, not measured: a relaxed Ru5W crystal at the PBEsol level of DFT.

The value obtained for the formation energy is 0.055 eV per atom. The calculation puts the density of states at the Fermi level at 6.1 states/eV/f.u. Its energy above the lowest structure with this stoichiometry is 8.48 kJ/mol of atoms.

The space group is Cmmm (No. 65) and the conventional cell measures 3.789, 11.460 and 3.793 Å, with angles of 90.00, 90.00 and 90.00 degrees. The inequivalent atoms are Ru at (0.000, 0.000, 0.000), Ru at (0.000, 0.169, 0.500), Ru at (0.000, 0.331, 0.000) and W at (0.000, 0.500, 0.500).